No. 1
This record from Alexandria describes crystalline Pr7Dy3Er at its relaxed geometry. The functional is GGA-PBE.

```
22
Lattice="9.860 -2.488 2.115 -5.732 8.405 -2.116 2.597 -1.815 12.354" Properties=species:S:1:pos:R:3 pbc="T T T"
Pr -2.667 6.302 1.361
Pr -1.402 5.343 7.538
Pr -0.158 2.348 5.759
Pr -1.498 3.266 -0.365
Pr 0.569 6.161 -0.418
Pr 1.845 5.288 5.813
Pr 3.179 0.403 9.265
Pr 3.546 3.700 3.088
Pr 6.156 -2.059 12.772
Pr 4.881 -1.186 6.541
Pr 8.223 0.836 12.719
Pr 6.883 1.754 6.594
Pr 8.128 -1.241 4.815
Pr 9.392 -2.200 10.992
Dy 1.379 3.408 8.824
Dy 0.000 0.000 0.000
Dy -4.433 7.498 4.061
Dy 0.107 4.353 2.647
Dy 6.619 -0.251 9.706
Dy 5.346 0.694 3.529
Er 4.661 1.144 12.353
Er 3.363 2.051 6.177
```

Computed properties:
energy of formation = 0.18 eV per atom
distance to the lowest polymorph of the same formula = 0 meV per atom
space-group type = P-1, No. 2


No. 2
This record from Alexandria describes crystalline PrDyEr at its relaxed geometry. The functional is GGA-PBE.

```
6
Lattice="-2.769 -3.893 -1.689 4.261 -2.515 -1.189 1.500 -1.142 7.796" Properties=species:S:1:pos:R:3 pbc="T T T"
Pr 2.795 -6.292 1.708
Pr 0.626 -3.998 -0.033
Dy 4.141 -3.301 0.200
Dy 2.049 -3.096 3.162
Er 4.218 -5.376 4.867
Er 0.704 -6.056 4.603
```

Computed properties:
energy of formation = 0.03 eV per atom
distance to the lowest polymorph of the same formula = 7 meV per atom
space-group type = P2_1/m, No. 11


No. 3
This record from Alexandria describes crystalline PrDy2Er at its relaxed geometry. The functional is GGA-PBE.

```
8
Lattice="-0.842 -0.234 -5.646 -0.211 -3.634 0.182 -12.196 4.443 1.635" Properties=species:S:1:pos:R:3 pbc="T T T"
Pr -9.797 0.580 0.276
Pr -6.049 0.190 -3.159
Dy -3.052 -1.828 -3.522
Dy -9.102 2.215 -2.787
Dy -6.532 2.189 -0.279
Dy -0.599 -1.845 -0.996
Er -3.517 0.170 -0.645
Er -12.329 0.600 -2.239
```

Computed properties:
energy of formation = 0.02 eV per atom
distance to the lowest polymorph of the same formula = 0 meV per atom
space-group type = Pmma, No. 51


No. 4
This record from Alexandria describes crystalline Pr8DyEr2 at its relaxed geometry. The functional is GGA-PBE.

```
11
Lattice="-4.585 -2.323 3.166 -4.274 -7.839 -2.296 3.262 -8.228 3.510" Properties=species:S:1:pos:R:3 pbc="T T T"
Pr -3.409 -4.620 3.206
Pr -2.704 -10.808 4.510
Pr -3.156 -3.988 -0.030
Pr -4.346 -10.773 1.202
Pr -1.251 -7.617 3.177
Pr -5.703 -6.175 0.900
Pr -2.893 -7.582 -0.131
Pr -2.188 -13.770 1.172
Dy -2.292 -1.161 1.583
Er -0.086 -5.556 0.621
Er -0.926 -10.511 0.592
```

Computed properties:
energy of formation = 0.14 eV per atom
distance to the lowest polymorph of the same formula = 0 meV per atom
space-group type = C2/m, No. 12


No. 5
This record from Alexandria describes crystalline Pr2Dy6Er at its relaxed geometry. The functional is GGA-PBE.

```
18
Lattice="-1.332 -5.420 2.730 8.481 -5.746 5.860 -8.049 -0.291 8.626" Properties=species:S:1:pos:R:3 pbc="T T T"
Pr -2.708 -9.387 13.881
Pr -2.258 -3.658 5.269
Pr 1.807 -2.070 3.335
Pr 1.357 -7.799 11.947
Dy 1.089 -5.711 9.197
Dy 1.201 -3.869 6.232
Dy -1.990 -5.746 8.019
Dy -2.101 -7.588 10.984
Dy 3.117 -10.597 11.443
Dy 3.584 -6.298 5.755
Dy -4.017 -0.859 5.773
Dy -4.484 -5.159 11.461
Dy -1.107 -6.056 13.897
Dy -1.650 -1.858 2.375
Dy 0.207 -5.400 3.318
Dy 0.749 -9.599 14.840
Er -4.251 -3.009 8.617
Er 3.350 -8.447 8.599
```

Computed properties:
energy of formation = 0.11 eV per atom
distance to the lowest polymorph of the same formula = 0 meV per atom
space-group type = C2/m, No. 12


No. 6
This record from Alexandria describes crystalline Pr2Dy9Er at its relaxed geometry. The functional is GGA-PBE.

```
12
Lattice="3.491 0.000 0.000 0.000 11.289 0.000 0.000 -5.644 9.777" Properties=species:S:1:pos:R:3 pbc="T T T"
Pr 0.000 0.000 6.518
Pr 0.000 5.644 3.259
Dy 0.000 -2.822 4.888
Dy 0.000 2.822 4.888
Dy 0.000 5.644 0.000
Dy 1.746 2.920 1.686
Dy 1.746 -2.724 8.091
Dy 1.746 0.000 3.372
Dy 1.746 5.644 6.405
Dy 1.746 8.369 1.686
Dy 1.746 2.724 8.091
Er 0.000 0.000 0.000
```

Computed properties:
energy of formation = 0.07 eV per atom
distance to the lowest polymorph of the same formula = 51 meV per atom
space-group type = P6/mmm, No. 191


No. 7
This record from Alexandria describes crystalline Pr2Dy5Er3 at its relaxed geometry. The functional is GGA-PBE.

```
20
Lattice="8.360 1.610 -3.913 0.285 8.518 -3.999 -1.707 -1.921 10.837" Properties=species:S:1:pos:R:3 pbc="T T T"
Pr 5.241 -0.064 4.986
Pr 1.697 8.271 -2.061
Pr 2.843 5.560 3.329
Pr 4.095 2.647 -0.404
Dy 2.383 4.842 -2.582
Dy 4.555 3.365 5.507
Dy -0.545 5.543 2.670
Dy 3.524 2.126 2.795
Dy 7.483 2.664 0.255
Dy 3.414 6.081 0.130
Dy 6.140 5.149 2.445
Dy 0.798 3.058 0.480
Dy 2.047 0.470 6.138
Dy 4.891 7.737 -3.213
Er 0.545 6.852 5.536
Er 6.393 1.355 -2.611
Er 5.826 4.650 -2.095
Er 1.112 3.556 5.021
Er -0.101 6.187 -0.545
Er 7.039 2.020 3.470
```

Computed properties:
energy of formation = 0.19 eV per atom
distance to the lowest polymorph of the same formula = 0 meV per atom
space-group type = C2/c, No. 15


No. 8
This record from Alexandria describes crystalline PrDy3Er7 at its relaxed geometry. The functional is GGA-PBE.

```
11
Lattice="8.326 -0.684 -2.850 -2.121 9.606 -0.597 -1.869 -0.093 5.172" Properties=species:S:1:pos:R:3 pbc="T T T"
Pr 2.168 4.415 0.863
Dy 0.495 -0.170 3.102
Dy -1.060 4.803 -0.299
Dy 3.842 9.000 -1.377
Er 4.229 7.270 1.659
Er 4.892 5.578 -1.056
Er 4.517 2.322 -1.249
Er -0.181 6.507 2.975
Er 3.229 -0.388 1.161
Er -0.555 3.251 2.782
Er 0.108 1.560 0.067
```

Computed properties:
energy of formation = 0.15 eV per atom
distance to the lowest polymorph of the same formula = 0 meV per atom
space-group type = P2/m, No. 10


No. 9
This record from Alexandria describes crystalline Pr3Dy5Er3 at its relaxed geometry. The functional is GGA-PBE.

```
11
Lattice="-1.043 1.500 -5.063 8.517 -3.639 -2.834 -7.907 -5.594 -0.028" Properties=species:S:1:pos:R:3 pbc="T T T"
Pr -0.133 -5.127 -4.353
Pr -3.396 -1.283 -2.541
Pr 2.574 -0.573 -3.561
Dy -2.954 -4.192 -3.495
Dy 2.521 -3.541 -4.430
Dy -0.360 -1.699 -3.290
Dy -6.332 -3.360 -2.552
Dy 5.737 -1.924 -4.614
Er 0.280 -4.246 -1.316
Er 4.601 -1.966 -1.531
Er -4.271 -3.022 -0.015
```

Computed properties:
energy of formation = 0.81 eV per atom
space-group type = P-62m, No. 189


No. 10
This record from Alexandria describes crystalline Pr2Dy5Er2 at its relaxed geometry. The functional is GGA-PBE.

```
18
Lattice="11.781 0.000 1.791 0.000 6.714 0.000 -4.789 -3.357 6.753" Properties=species:S:1:pos:R:3 pbc="T T T"
Pr 0.275 3.452 1.785
Pr 6.717 0.095 6.759
Pr 6.179 0.449 3.009
Pr 0.813 3.805 5.535
Dy -1.882 1.343 6.219
Dy 8.874 4.700 2.325
Dy -2.027 -1.672 6.439
Dy 9.019 1.684 2.105
Dy 3.096 -0.726 2.144
Dy 3.896 2.631 6.400
Dy 3.391 2.610 3.144
Dy 3.601 -0.747 5.400
Dy -2.498 2.839 3.671
Dy 9.490 -0.518 4.872
Er 0.000 6.625 0.000
Er 5.891 3.617 0.895
Er 0.663 0.589 4.082
Er 6.329 3.946 4.461
```

Computed properties:
energy of formation = 0.17 eV per atom
distance to the lowest polymorph of the same formula = 0 meV per atom
space-group type = C2, No. 5


No. 11
This record from Alexandria describes crystalline PrDyEr4 at its relaxed geometry. The functional is GGA-PBE.

```
6
Lattice="-4.561 -1.638 -4.439 -3.974 -5.116 1.106 -6.363 1.003 1.303" Properties=species:S:1:pos:R:3 pbc="T T T"
Pr -3.725 -1.438 -0.508
Dy 0.000 0.000 0.000
Er -6.124 -4.101 -1.925
Er -7.324 -1.028 -1.826
Er -9.320 -3.597 -1.270
Er -7.029 -2.775 0.960
```

Computed properties:
energy of formation = 0.28 eV per atom
distance to the lowest polymorph of the same formula = 260 meV per atom
space-group type = F-43m, No. 216


No. 12
This record from Alexandria describes crystalline Pr2Dy3Er8 at its relaxed geometry. The functional is GGA-PBE.

```
13
Lattice="-1.185 2.120 4.928 -1.225 -6.987 2.711 10.628 2.790 1.353" Properties=species:S:1:pos:R:3 pbc="T T T"
Pr 4.219 0.721 3.762
Pr 4.000 -2.798 5.229
Dy -0.592 1.060 2.464
Dy -0.352 -2.011 0.780
Dy 9.755 -2.186 3.283
Er 2.592 -3.718 2.224
Er 5.626 1.641 6.768
Er 1.357 1.941 5.615
Er 6.861 -4.018 3.376
Er 7.028 -0.984 5.172
Er 7.550 1.997 4.016
Er 0.668 -4.073 4.976
Er 1.190 -1.093 3.819
```

Computed properties:
energy of formation = 0.25 eV per atom
space-group type = Cmmm, No. 65